(1)
Material: KZrIn
Method: DFT, PBE-GGA
State: optimized geometry

The structure in POSCAR format:
```
KZrIn
1.0
5.118 0.000 0.000
2.559 4.432 0.000
2.559 1.477 4.179
K Zr In
1 1 1
Cartesian
7.676 4.432 3.134
0.000 0.000 0.000
5.118 2.955 2.089
```

Results
Formation enthalpy at 0 K ... 1.3419 eV per atom
E above lowest polymorph ... 4.18 eV/f.u.

=====

(2)
Material: LaSmSc3
Method: DFT, PBE-GGA
State: optimized geometry

The structure in POSCAR format:
```
LaSmSc3
1.0
-5.697 0.871 -0.491
1.298 -3.618 -4.322
-1.546 -7.050 5.438
Sc La Sm
6 2 2
Cartesian
-2.345 -8.319 2.437
-1.804 -5.854 0.536
-2.970 -1.085 -1.122
-3.169 -5.183 3.643
-0.248 -3.036 -0.252
-3.510 -3.550 0.779
-5.112 -6.229 1.734
-1.927 -4.252 -2.306
-4.831 -6.060 -1.720
-4.058 -2.535 -4.439
```

Results
Formation enthalpy at 0 K ... 0.2234 eV per atom

=====

(3)
Material: Zn2MoOs
Method: DFT, PBE-GGA
State: optimized geometry

The structure in POSCAR format:
```
Zn2MoOs
1.0
4.643 -0.008 0.004
3.801 2.666 0.004
0.621 0.195 4.748
Os Zn Mo
1 2 1
Cartesian
6.770 2.131 3.472
0.041 0.013 0.089
2.255 0.710 1.086
4.531 1.426 2.487
```

Results
Formation enthalpy at 0 K ... 0.1746 eV per atom
E above lowest polymorph ... 0.51 eV/f.u.

=====

(4)
Material: CeLu2Au
Method: DFT, PBE-GGA
State: optimized geometry

The structure in POSCAR format:
```
CeLu2Au
1.0
3.409 0.000 0.000
1.705 2.952 0.000
1.705 0.984 10.933
Lu Ce Au
2 1 1
Cartesian
5.114 2.952 3.288
1.705 0.984 7.645
0.000 0.000 0.000
3.409 1.968 5.466
```

Results
Formation enthalpy at 0 K ... -0.0717 eV per atom
E above lowest polymorph ... 1.27 eV/f.u.

=====

(5)
Material: LaTbEr6
Method: DFT, PBE-GGA
State: optimized geometry

The structure in POSCAR format:
```
LaTbEr6
1.0
-2.851 -3.745 -1.713
3.087 0.559 -6.361
4.945 -4.677 1.995
Er Tb La
6 1 1
Cartesian
0.118 -1.593 -4.037
4.486 -3.383 -0.070
6.049 -3.101 -3.289
1.983 -1.017 -1.078
3.546 -0.734 -4.297
1.047 -4.211 0.141
-1.426 -1.873 -0.856
2.590 -3.931 -3.040
```

Results
Formation enthalpy at 0 K ... 0.0279 eV per atom
E above lowest polymorph ... 0.00 eV/f.u.

=====

(6)
Material: PmPaHg2O8
Method: DFT, PBE-GGA
State: optimized geometry

The structure in POSCAR format:
```
PmPaHg2O8
1.0
-1.986 -2.795 -5.346
5.851 -1.996 1.456
-3.956 -1.503 4.735
O Hg Pa Pm
8 2 1 1
Cartesian
-0.752 -5.097 -1.153
1.395 -1.949 0.143
-3.951 -2.931 -0.448
-1.400 -3.899 -3.273
0.011 -4.192 2.001
-3.285 -2.115 2.512
-1.916 -1.459 -0.239
1.697 -4.331 -2.967
1.932 -2.395 -1.945
-2.005 -3.347 -1.278
1.913 -2.947 2.123
0.000 0.000 0.000
```

Results
Energy relative to the elements, uncorrected ... -1507 meV/atom

=====

(7)
Material: La2Ga4O9
Method: DFT, PBE-GGA
State: optimized geometry

The structure in POSCAR format:
```
La2Ga4O9
1.0
-4.724 3.635 -0.119
-2.700 -3.295 6.527
4.428 5.913 4.817
O Ga La
18 8 4
Cartesian
0.778 6.121 6.718
0.692 3.484 7.638
1.565 2.140 3.248
-2.129 2.395 8.289
-1.777 5.384 7.576
-4.797 1.444 7.114
-3.688 2.769 3.587
-3.774 0.132 4.507
3.310 4.526 6.788
1.800 4.809 4.111
-2.328 -0.456 7.176
0.163 0.478 8.097
-2.362 1.817 -0.060
-0.669 6.708 4.049
-1.219 0.869 3.649
-1.583 -1.907 4.556
-1.498 3.126 5.613
-0.868 3.858 2.936
0.962 6.299 4.867
-2.561 -0.716 3.233
-3.958 -0.046 6.358
1.003 3.888 2.378
-1.142 3.645 7.311
-1.855 2.608 3.914
-4.864 1.056 3.175
-1.300 5.660 2.320
0.404 0.588 1.916
-0.382 -0.307 5.793
1.324 2.030 9.429
2.110 2.925 5.552
```

Results
Energy relative to the elements, uncorrected ... -2344 meV/atom

=====

(8)
Material: KAuI3
Method: DFT, PBE-GGA
State: optimized geometry

The structure in POSCAR format:
```
KAuI3
1.0
14.883 0.000 1.327
5.737 7.793 -3.367
-5.737 7.793 3.367
Au I K
4 12 4
Cartesian
11.551 9.954 -0.161
-1.627 5.631 2.543
16.510 9.954 -1.216
3.331 5.631 1.488
5.728 6.063 -0.198
1.714 13.855 0.861
1.381 5.162 -0.191
3.118 9.555 -0.455
11.764 6.030 1.782
4.323 1.763 1.118
8.823 2.630 0.473
9.155 9.522 1.525
10.560 13.822 0.209
13.169 1.730 0.466
13.501 10.423 1.518
6.060 12.955 0.854
0.852 8.181 2.015
14.031 7.404 -0.688
6.589 10.009 -1.352
8.293 5.577 2.679
```

Results
Energy relative to the elements, uncorrected ... -598 meV/atom

=====

(9)
Material: RbIrOF2
Method: DFT, PBE-GGA
State: optimized geometry

The structure in POSCAR format:
```
RbIrOF2
1.0
-0.031 2.647 3.771
-1.684 -3.517 2.454
3.502 -1.112 0.809
Ir Rb O F
1 1 1 2
Cartesian
0.000 0.000 0.000
0.894 -0.991 3.517
1.751 -0.556 0.405
-0.842 -1.758 1.227
-0.015 1.323 1.885
```

Results
Energy relative to the elements, uncorrected ... -1390 meV/atom
E above lowest polymorph ... 0.00 eV/f.u.

=====

(10)
Material: NaMnBe3
Method: DFT, PBE-GGA
State: optimized geometry

The structure in POSCAR format:
```
NaMnBe3
1.0
-3.247 1.071 2.573
1.224 -3.000 2.794
2.503 2.856 1.970
Mn Be Na
1 3 1
Cartesian
0.000 0.000 0.000
0.612 -1.500 1.397
-1.623 0.535 1.286
1.252 1.428 0.985
0.241 0.463 3.668
```

Results
Formation enthalpy at 0 K ... 0.8970 eV per atom
E above lowest polymorph ... 0.00 eV/f.u.

=====

(11)
Material: Pb6Br7
Method: DFT, PBE-GGA
State: optimized geometry

The structure in POSCAR format:
```
Pb6Br7
1.0
10.792 0.023 0.015
8.362 6.822 0.015
8.362 2.989 6.133
Br Pb
7 6
Cartesian
11.573 2.209 3.525
15.944 5.698 5.711
13.758 4.917 3.081
10.352 5.626 3.525
17.165 4.208 2.637
11.573 4.136 0.451
15.944 7.625 2.637
22.708 8.115 5.085
4.809 1.719 1.077
1.535 0.549 0.344
18.453 6.595 4.132
25.982 9.285 5.818
9.064 3.239 2.030
```

Results
Energy relative to the elements, uncorrected ... -279 meV/atom